Entry 1:
Ce2GaB2Rh5: optimized geometry, GGA-PBE.

Geometry as POSCAR:
```
Ce2GaB2Rh5
1.0
3.295 0.000 0.000
0.000 9.512 0.000
0.000 0.000 9.512
Ce Ga B Rh
4 2 4 10
Direct
0.000 0.677 0.177
0.000 0.323 0.823
0.000 0.177 0.323
0.000 0.823 0.677
0.000 0.000 0.000
0.000 0.500 0.500
0.000 0.121 0.621
0.000 0.879 0.379
0.000 0.621 0.879
0.000 0.379 0.121
0.500 0.220 0.071
0.500 0.780 0.929
0.500 0.071 0.780
0.500 0.720 0.429
0.500 0.929 0.220
0.500 0.280 0.571
0.500 0.571 0.720
0.500 0.429 0.280
0.500 0.500 0.000
0.500 0.000 0.500
```

Summary:
**Total DFT energy (no corrections)**: -7.229 eV per atom

=====

Entry 2:
CeGaBRu3: optimized geometry, GGA-PBE.

Geometry as POSCAR:
```
CeGaBRu3
1.0
-0.681 5.647 -1.277
-0.951 -1.337 -5.404
-5.347 0.223 3.837
Ce Ga B Ru
2 2 2 6
Direct
0.750 0.257 0.513
0.250 0.743 0.487
0.250 0.367 0.734
0.750 0.633 0.266
0.250 0.980 0.959
0.750 0.020 0.041
0.250 0.162 0.324
0.000 0.255 0.000
0.500 0.745 0.000
0.500 0.255 0.000
0.000 0.745 0.000
0.750 0.838 0.676
```

Summary:
**Total DFT energy (no corrections)**: -7.501 eV per atom